1.
A relaxed YCrHg2 crystal. Source: Alexandria, functional GGA-PBEsol.

a b c (Å): 3.622 3.622 6.500
angles (deg): 90.00 90.00 90.00
Each line ends with the local moment (μB).
Sites, in units of the cell vectors:
Cr  0.500  0.500  0.779  3.50
Hg  0.000  0.000  0.977  -0.01
Hg  0.500  0.500  0.239  0.00
Y  0.000  0.000  0.505  -0.11

- Total energy: -4.474 eV/atom
- N(E_F): 2.8 states/eV per cell
- Formation energy: 0.075 eV/atom

=====

2.
A relaxed Y2CrHg crystal. Source: Alexandria, functional GGA-PBEsol.

a b c (Å): 3.523 3.523 9.227
angles (deg): 79.00 79.00 60.00
Each line ends with the local moment (μB).
Sites, in units of the cell vectors:
Cr  0.500  0.500  0.500  3.15
Hg  0.000  0.000  0.000  0.01
Y  0.245  0.245  0.264  -0.03
Y  0.755  0.755  0.736  -0.03

- Total energy: -5.919 eV/atom
- N(E_F): 3.4 states/eV per cell
- Formation energy: 0.194 eV/atom

=====

3.
A relaxed Y2CrHg crystal. Source: Alexandria, functional GGA-PBEsol.

a b c (Å): 3.532 4.974 5.947
angles (deg): 109.28 107.28 90.00
Each line ends with the local moment (μB).
Sites, in units of the cell vectors:
Cr  0.524  0.496  0.049  3.35
Hg  0.226  0.753  0.452  -0.01
Y  0.984  0.966  0.968  -0.15
Y  0.766  0.285  0.531  -0.16

- Total energy: -6.057 eV/atom
- N(E_F): 3.7 states/eV per cell
- Formation energy: 0.056 eV/atom

=====

> The lowest total energy belongs to which entry?

number 3